VASP calculation (PBE) on an optimized crystal structure of EuTmIrRh.

- D(E_F) (states/eV per cell) = 10.645
- energy of formation from the pure elements (kJ per mole of atoms) = -55.6

a = 4.8643 Å, b = 4.8643 Å, c = 4.8643 Å
α = 60.00°, β = 60.00°, γ = 60.00°
Last column: nearest neighbours and their distance in Å.
Fractional positions:
Rh 0.5000 0.5000 0.5000  4 Tm 2.98, 4 Eu 2.98
Ir 0.0000 0.0000 0.0000  4 Eu 2.98, 4 Tm 2.98
Tm 0.2500 0.2500 0.2500  4 Ir 2.98, 4 Rh 2.98
Eu 0.7500 0.7500 0.7500  4 Rh 2.98, 4 Ir 2.98